## PaGaB12 (GGA-PBE)

Data for a relaxed PaGaB12 crystal.

ΔE_f ... -0.099 eV/atom
VASP energy ... -0.2469 hartree per atom
N(E_F) ... 5.66 states/eV/cell
Space group ... P4/mmm

a = 4.1212 Å, b = 4.1212 Å, c = 8.3145 Å
α = 90.00°, β = 90.00°, γ = 90.00°
With the nearest neighbours (Å) after each atom.
Fractional coordinates of all 14 atoms:
B 0.5000 0.1997 0.2451  5 B 1.65-1.77
B 0.1997 0.5000 0.7549  5 B 1.65-1.77
B 0.5000 0.5000 0.6024  5 B 1.70-1.77
B 0.5000 0.8003 0.2451  5 B 1.65-1.77
B 0.1997 0.5000 0.2451  5 B 1.65-1.77
B 0.8003 0.5000 0.7549  5 B 1.65-1.77
B 0.5000 0.1997 0.7549  5 B 1.65-1.77
B 0.5000 0.5000 0.0973  5 B 1.62-1.74
B 0.5000 0.5000 0.9027  5 B 1.62-1.74
B 0.5000 0.5000 0.3976  5 B 1.70-1.77
B 0.5000 0.8003 0.7549  5 B 1.65-1.77
B 0.8003 0.5000 0.2451  5 B 1.65-1.77
Pa 0.0000 0.0000 0.0000  24 B 3.01-3.02
Ga 0.0000 0.0000 0.5000  24 B 3.04-3.07